# GGA+U PmMo2PbO8, relaxed
# Calculated volume, Å³/atom: 19.21
# Raw total energy, eV per atom: -7.047
data_PmMo2PbO8
_chemical_formula_sum 'Pm1 Mo2 Pb1 O8'
_space_group_name_H-M_alt 'P 1'
_space_group_IT_number 1
_cell_length_a 6.088
_cell_length_b 6.088
_cell_length_c 7.184
_cell_angle_alpha 90.00
_cell_angle_beta 90.00
_cell_angle_gamma 120.00
loop_
_space_group_symop_operation_xyz
'x,y,z'
loop_
_atom_site_label
_atom_site_type_symbol
_atom_site_fract_x
_atom_site_fract_y
_atom_site_fract_z
O1 O 0.166 0.332 0.717
O2 O 0.333 0.667 0.039
O3 O 0.667 0.333 0.961
O4 O 0.166 0.834 0.717
Pb1 Pb 0.000 0.000 0.000
O5 O 0.834 0.166 0.283
O6 O 0.834 0.668 0.283
Mo1 Mo 0.333 0.667 0.794
Mo2 Mo 0.667 0.333 0.206
Pm1 Pm 0.000 0.000 0.500
O7 O 0.668 0.834 0.717
O8 O 0.332 0.166 0.283